Below is a geometry-optimized CeMnNi2O6 structure, with properties calculated at the GGA+U level.

Structure (CIF):
```
data_CeMnNi2O6
_chemical_formula_sum 'Ce1 Mn1 Ni2 O6'
_cell_length_a 5.628
_cell_length_b 5.628
_cell_length_c 5.628
_cell_angle_alpha 55.70
_cell_angle_beta 55.70
_cell_angle_gamma 55.70
_symmetry_space_group_name_H-M 'P 1'
_symmetry_Int_Tables_number 1
loop_
_symmetry_equiv_pos_as_xyz
'x,y,z'
loop_
_atom_site_label
_atom_site_type_symbol
_atom_site_fract_x
_atom_site_fract_y
_atom_site_fract_z
_atom_site_occupancy
Ce1 Ce 0.000 0.000 0.000 1
Mn1 Mn 0.514 0.514 0.514 1
Ni1 Ni 0.205 0.205 0.205 1
Ni2 Ni 0.714 0.714 0.714 1
O1 O 0.131 0.780 0.428 1
O2 O 0.335 0.576 0.899 1
O3 O 0.428 0.131 0.780 1
O4 O 0.576 0.899 0.335 1
O5 O 0.780 0.428 0.131 1
O6 O 0.899 0.335 0.576 1
```

Properties
**Crystal system**: trigonal
**Electronic total energy**: -6.61 eV/atom